Material: K2BaNa2
Method: DFT, PBE
State: relaxed

a b c (Å): 11.300 11.300 4.328
angles (deg): 90.00 90.00 90.00
Positions (direct):
Na1 0.175 0.675 0.500
Na2 0.675 0.825 0.500
Na3 0.825 0.325 0.500
Na4 0.325 0.175 0.500
K1 0.372 0.872 0.000
K2 0.872 0.628 0.000
K3 0.628 0.128 0.000
K4 0.128 0.372 0.000
Ba1 0.000 0.000 0.000
Ba2 0.500 0.500 0.000

Summary:
The total DFT energy (no corrections) comes out at -12.75 eV per cell. As for the space group: No. 127. The crystal system is tetragonal. Its total magnetization is 0.00 μB/cell.

=====

Material: K2BaNa9
Method: DFT, PBE
State: relaxed

a b c (Å): 7.241 7.241 12.597
angles (deg): 73.30 73.30 60.00
Positions (direct):
K1 0.859 0.859 0.424
K2 0.141 0.141 0.576
Ba1 0.000 0.000 0.000
Na1 0.667 0.667 0.000
Na2 0.333 0.333 0.000
Na3 0.500 0.500 0.500
Na4 0.419 0.419 0.243
Na5 0.920 0.419 0.243
Na6 0.419 0.920 0.243
Na7 0.581 0.581 0.757
Na8 0.581 0.080 0.757
Na9 0.080 0.581 0.757

Summary:
The total DFT energy (no corrections) comes out at -15.85 eV per cell. As for the space group: No. 166. The crystal system is trigonal. Its total magnetization is 0.00 μB/cell.

=====

Material: K2BaNa
Method: DFT, PBE
State: relaxed

a b c (Å): 4.676 7.070 15.636
angles (deg): 90.00 107.34 90.00
Positions (direct):
K1 0.488 0.250 0.234
K2 0.512 0.750 0.766
K3 0.696 0.250 0.945
K4 0.304 0.750 0.055
Ba1 0.238 0.250 0.487
Ba2 0.762 0.750 0.513
Na1 0.953 0.250 0.704
Na2 0.047 0.750 0.296

Summary:
The total DFT energy (no corrections) comes out at -10.55 eV per cell. As for the space group: No. 11. The crystal system is monoclinic. Its total magnetization is 0.00 μB/cell.

=====

Material: KBa3Na8
Method: DFT, PBE
State: relaxed

a b c (Å): 7.293 7.293 12.014
angles (deg): 90.00 90.00 120.00
Positions (direct):
K1 0.000 0.000 0.564
Ba1 0.667 0.333 0.434
Ba2 0.667 0.333 0.061
Ba3 0.000 0.000 0.942
Na1 0.333 0.667 0.499
Na2 0.333 0.667 0.000
Na3 0.503 0.005 0.752
Na4 0.503 0.497 0.752
Na5 0.995 0.497 0.752
Na6 0.164 0.328 0.248
Na7 0.164 0.836 0.248
Na8 0.672 0.836 0.248

Summary:
The total DFT energy (no corrections) comes out at -17.42 eV per cell. As for the space group: No. 156. The crystal system is trigonal. Its total magnetization is 0.00 μB/cell.

=====

Material: K2BaNa
Method: DFT, PBE
State: relaxed

a b c (Å): 4.342 4.342 15.317
angles (deg): 81.85 81.85 60.00
Site moments in Bohr magnetons follow the coordinates.
Positions (direct):
Na1 0.500 0.500 0.500  0.00
K1 0.093 0.093 0.722  0.00
K2 0.907 0.907 0.278  0.00
Ba1 0.000 0.000 0.000  0.05

Summary:
The total DFT energy (no corrections) comes out at -4.94 eV per cell. As for the space group: No. 166. The crystal system is trigonal. Its total magnetization is 0.28 μB/cell.

=====

Material: KBaNa17
Method: DFT, PBE
State: relaxed

a b c (Å): 9.293 9.293 9.293
angles (deg): 81.79 81.79 81.79
Positions (direct):
K1 0.660 0.660 0.660
Ba1 0.335 0.335 0.335
Na1 0.299 0.001 0.701
Na2 0.701 0.299 0.001
Na3 0.001 0.701 0.299
Na4 0.299 0.701 0.001
Na5 0.001 0.299 0.701
Na6 0.701 0.001 0.299
Na7 0.351 0.841 0.351
Na8 0.351 0.351 0.841
Na9 0.841 0.351 0.351
Na10 0.650 0.147 0.650
Na11 0.650 0.650 0.147
Na12 0.147 0.650 0.650
Na13 0.008 0.494 0.008
Na14 0.008 0.008 0.494
Na15 0.494 0.008 0.008
Na16 0.903 0.903 0.903
Na17 0.098 0.098 0.098

Summary:
The total DFT energy (no corrections) comes out at -25.09 eV per cell. As for the space group: No. 160. The crystal system is trigonal. Its total magnetization is 0.00 μB/cell.

=====

Material: KBa2Na
Method: DFT, PBE
State: relaxed

a b c (Å): 4.527 4.527 11.741
angles (deg): 90.00 90.00 90.00
Positions (direct):
Na1 0.500 0.500 0.000
K1 0.500 0.500 0.500
Ba1 0.000 0.000 0.792
Ba2 0.000 0.000 0.208

Summary:
The total DFT energy (no corrections) comes out at -6.00 eV per cell. As for the space group: No. 123. The crystal system is tetragonal. Its total magnetization is 0.00 μB/cell.

=====

Material: K2Ba2Na15
Method: DFT, PBE
State: relaxed

a b c (Å): 9.444 9.444 9.444
angles (deg): 82.79 82.79 82.79
Positions (direct):
K1 0.105 0.105 0.105
K2 0.895 0.895 0.895
Ba1 0.355 0.355 0.355
Ba2 0.645 0.645 0.645
Na1 0.500 0.000 0.000
Na2 0.000 0.000 0.500
Na3 0.000 0.500 0.000
Na4 0.000 0.684 0.316
Na5 0.684 0.316 0.000
Na6 0.316 0.000 0.684
Na7 0.316 0.684 0.000
Na8 0.684 0.000 0.316
Na9 0.000 0.316 0.684
Na10 0.166 0.648 0.648
Na11 0.648 0.648 0.166
Na12 0.648 0.166 0.648
Na13 0.834 0.352 0.352
Na14 0.352 0.352 0.834
Na15 0.352 0.834 0.352

Summary:
The total DFT energy (no corrections) comes out at -25.38 eV per cell. As for the space group: No. 166. The crystal system is trigonal. Its total magnetization is 0.00 μB/cell.

=====

Material: KBaNa
Method: DFT, PBE
State: relaxed

a b c (Å): 4.485 4.485 17.371
angles (deg): 90.00 90.00 90.00
Positions (direct):
K1 0.000 0.500 0.604
K2 0.500 0.000 0.396
Ba1 0.500 0.000 0.096
Ba2 0.000 0.500 0.904
Na1 0.000 0.500 0.244
Na2 0.500 0.000 0.756

Summary:
The total DFT energy (no corrections) comes out at -8.57 eV per cell. As for the space group: No. 129. The crystal system is tetragonal. Its total magnetization is 0.00 μB/cell.

=====

Material: K2BaNa2
Method: DFT, PBE
State: relaxed

a b c (Å): 4.594 7.691 8.573
angles (deg): 100.52 105.54 90.00
Positions (direct):
K1 0.373 0.437 0.745
K2 0.627 0.563 0.255
Ba1 0.000 0.000 0.000
Na1 0.706 0.118 0.412
Na2 0.294 0.882 0.588

Summary:
The total DFT energy (no corrections) comes out at -6.43 eV per cell. As for the space group: No. 12. The crystal system is monoclinic. Its total magnetization is 0.00 μB/cell.

=====

Material: KBaNa5
Method: DFT, PBE
State: relaxed

a b c (Å): 6.872 6.872 7.695
angles (deg): 90.00 90.00 90.00
Positions (direct):
K1 0.000 0.000 0.500
Ba1 0.500 0.500 0.000
Na1 0.000 0.500 0.745
Na2 0.000 0.500 0.255
Na3 0.500 0.000 0.745
Na4 0.500 0.000 0.255
Na5 0.500 0.500 0.500

Summary:
The total DFT energy (no corrections) comes out at -8.60 eV per cell. As for the space group: No. 123. The crystal system is tetragonal. Its total magnetization is 0.00 μB/cell.

=====

Material: KBaNa6
Method: DFT, PBE
State: relaxed

a b c (Å): 6.388 6.804 8.249
angles (deg): 90.00 90.00 90.00
Positions (direct):
K1 0.500 0.344 0.500
Ba1 0.000 0.668 0.000
Na1 0.500 0.834 0.255
Na2 0.000 0.167 0.747
Na3 0.000 0.167 0.253
Na4 0.500 0.834 0.745
Na5 0.000 0.713 0.500
Na6 0.500 0.272 0.000

Summary:
The total DFT energy (no corrections) comes out at -10.70 eV per cell. As for the space group: No. 25. The crystal system is orthorhombic. Its total magnetization is 0.00 μB/cell.

=====

Material: K6BaNa6
Method: DFT, PBE
State: relaxed

a b c (Å): 7.551 10.366 10.366
angles (deg): 82.83 68.64 68.64
Positions (direct):
K1 0.346 0.654 0.654
K2 0.654 0.346 0.346
K3 0.000 0.337 0.663
K4 0.000 0.663 0.337
K5 0.313 0.187 0.187
K6 0.687 0.813 0.813
Ba1 0.000 0.000 0.000
Na1 0.000 0.500 0.000
Na2 0.500 0.500 0.000
Na3 0.000 0.000 0.500
Na4 0.500 0.000 0.500
Na5 0.500 0.781 0.219
Na6 0.500 0.219 0.781

Summary:
The total DFT energy (no corrections) comes out at -15.89 eV per cell. As for the space group: No. 71. The crystal system is orthorhombic. Its total magnetization is 0.00 μB/cell.

=====

Material: KBa5Na6
Method: DFT, PBE
State: relaxed

a b c (Å): 6.627 9.473 10.477
angles (deg): 90.00 71.25 90.00
Positions (direct):
Na1 0.837 0.752 0.330
Na2 0.837 0.248 0.330
Na3 0.500 0.251 0.000
Na4 0.500 0.749 0.000
Na5 0.163 0.752 0.670
Na6 0.163 0.248 0.670
K1 0.000 0.000 0.000
Ba1 0.669 0.500 0.661
Ba2 0.332 0.000 0.338
Ba3 0.000 0.500 0.000
Ba4 0.668 0.000 0.662
Ba5 0.331 0.500 0.339

Summary:
The total DFT energy (no corrections) comes out at -18.37 eV per cell. As for the space group: No. 10. The crystal system is monoclinic. Its total magnetization is 0.00 μB/cell.

=====

Material: KBa2Na
Method: DFT, PBE
State: relaxed

a b c (Å): 6.384 6.109 6.109
angles (deg): 90.00 90.00 90.00
Positions (direct):
Na1 0.500 0.000 0.000
K1 0.500 0.500 0.500
Ba1 0.000 0.000 0.500
Ba2 0.000 0.500 0.000

Summary:
The total DFT energy (no corrections) comes out at -5.90 eV per cell. As for the space group: No. 123. The crystal system is tetragonal. Its total magnetization is 0.00 μB/cell.

=====

Material: KBa6Na10
Method: DFT, PBE
State: relaxed

a b c (Å): 7.774 11.344 11.344
angles (deg): 120.00 90.00 90.00
Positions (direct):
K1 0.500 0.000 0.000
Ba1 0.720 0.384 0.384
Ba2 0.720 0.000 0.616
Ba3 0.720 0.616 0.000
Ba4 0.280 0.616 0.616
Ba5 0.280 0.000 0.384
Ba6 0.280 0.384 0.000
Na1 0.812 0.730 0.730
Na2 0.812 0.000 0.270
Na3 0.812 0.270 0.000
Na4 0.188 0.270 0.270
Na5 0.188 0.000 0.730
Na6 0.188 0.730 0.000
Na7 0.500 0.333 0.667
Na8 0.500 0.667 0.333
Na9 0.000 0.667 0.333
Na10 0.000 0.333 0.667

Summary:
The total DFT energy (no corrections) comes out at -24.45 eV per cell. As for the space group: No. 162. The crystal system is trigonal. Its total magnetization is 0.00 μB/cell.

=====

Material: K3Ba2Na2
Method: DFT, PBE
State: relaxed

a b c (Å): 4.406 4.244 22.279
angles (deg): 90.00 95.68 90.00
Positions (direct):
K1 0.418 0.500 0.835
K2 0.582 0.500 0.165
K3 0.000 0.000 0.000
Ba1 0.293 0.500 0.586
Ba2 0.707 0.500 0.414
Na1 0.145 0.000 0.290
Na2 0.855 0.000 0.710

Summary:
The total DFT energy (no corrections) comes out at -9.42 eV per cell. As for the space group: No. 65. The crystal system is orthorhombic. Its total magnetization is 0.00 μB/cell.

=====

Material: KBaNa
Method: DFT, PBE
State: relaxed

a b c (Å): 4.396 4.396 9.473
angles (deg): 103.42 103.42 90.00
Positions (direct):
Na1 0.666 0.666 0.331
K1 0.318 0.318 0.635
Ba1 0.017 0.017 0.034

Summary:
The total DFT energy (no corrections) comes out at -4.18 eV per cell. As for the space group: No. 107. The crystal system is tetragonal. Its total magnetization is 0.00 μB/cell.

=====

Material: KBa2Na
Method: DFT, PBE
State: relaxed

a b c (Å): 4.444 4.444 14.398
angles (deg): 81.12 81.12 60.00
Positions (direct):
K1 0.500 0.500 0.500
Ba1 0.075 0.075 0.775
Ba2 0.258 0.258 0.225
Na1 0.667 0.667 0.000

Summary:
The total DFT energy (no corrections) comes out at -5.92 eV per cell. As for the space group: No. 160. The crystal system is trigonal. Its total magnetization is 0.00 μB/cell.

=====

Material: K2BaNa
Method: DFT, PBE
State: relaxed

a b c (Å): 4.414 4.414 12.446
angles (deg): 90.00 90.00 90.00
Positions (direct):
Na1 0.500 0.500 0.000
K1 0.000 0.000 0.783
K2 0.000 0.000 0.217
Ba1 0.500 0.500 0.500

Summary:
The total DFT energy (no corrections) comes out at -5.12 eV per cell. As for the space group: No. 123. The crystal system is tetragonal. Its total magnetization is 0.00 μB/cell.

=====

Material: KBa2Na
Method: DFT, PBE
State: relaxed

a b c (Å): 4.873 4.877 20.040
angles (deg): 90.00 90.04 90.00
Positions (direct):
K1 0.249 0.337 0.422
K2 0.751 0.837 0.578
Ba1 0.749 0.836 0.804
Ba2 0.251 0.336 0.196
Ba3 0.750 0.836 0.062
Ba4 0.250 0.336 0.938
Na1 0.249 0.336 0.695
Na2 0.751 0.836 0.305

Summary:
The total DFT energy (no corrections) comes out at -12.38 eV per cell. As for the space group: No. 11. The crystal system is monoclinic. Its total magnetization is 0.00 μB/cell.

=====

Material: K5BaNa4
Method: DFT, PBE
State: relaxed

a b c (Å): 6.122 10.069 11.505
angles (deg): 119.80 105.29 89.66
Positions (direct):
K1 0.837 0.379 0.682
K2 0.824 0.772 0.640
K3 0.176 0.228 0.360
K4 0.500 0.500 0.000
K5 0.163 0.621 0.318
Ba1 0.500 0.000 0.000
Na1 0.327 0.064 0.651
Na2 0.967 0.207 0.933
Na3 0.673 0.936 0.349
Na4 0.033 0.793 0.067

Summary:
The total DFT energy (no corrections) comes out at -12.03 eV per cell. As for the space group: No. 2. The crystal system is triclinic. Its total magnetization is 0.00 μB/cell.

=====

Material: K2BaNa2
Method: DFT, PBE
State: relaxed

a b c (Å): 4.474 4.541 14.327
angles (deg): 80.88 90.00 90.00
Positions (direct):
K1 0.000 0.181 0.639
K2 0.000 0.819 0.361
Ba1 0.000 0.000 0.000
Na1 0.500 0.411 0.179
Na2 0.500 0.589 0.821

Summary:
The total DFT energy (no corrections) comes out at -6.63 eV per cell. As for the space group: No. 65. The crystal system is orthorhombic. Its total magnetization is 0.00 μB/cell.

=====

Material: KBaNa2Os
Method: DFT, PBE
State: relaxed

a b c (Å): 5.983 5.536 5.983
angles (deg): 90.00 90.00 90.00
Site moments in Bohr magnetons follow the coordinates.
Positions (direct):
Na1 0.000 0.000 0.500  0.00
Na2 0.500 0.000 0.000  0.00
K1 0.500 0.500 0.500  0.00
Os1 0.000 0.000 0.000  0.43
Ba1 0.000 0.500 0.000  0.04

Summary:
The total DFT energy (no corrections) comes out at -13.11 eV per cell. As for the space group: No. 123. The crystal system is tetragonal. Its total magnetization is 0.51 μB/cell.